Record 1
A geometry-optimized Ba2AgGePd6 structure, computed with PBE.

The space group is P-1 (No. 2) and the conventional cell measures 5.648, 6.751 and 7.212 Å, with angles of 77.44, 66.95 and 65.36 degrees. Symmetry generates all atoms from Ba at (0.237, 0.223, 0.304), Ag at (0.500, 0.500, 0.500), Ge at (0.000, 0.000, 0.000), Pd at (0.241, 0.243, 0.784), Pd at (0.247, 0.599, 0.904) and Pd at (0.270, 0.756, 0.214).

As for the final energy: -4.71 eV per atom. The value obtained for the energy relative to the elements is -0.465 eV per atom.

Record 2
A geometry-optimized Nb3BW structure, computed with PBE.

The space group is Pm-3m (No. 221) and the conventional cell measures 4.834, 4.834 and 4.834 Å, with angles of 90.00, 90.00 and 90.00 degrees. Symmetry generates all atoms from Nb at (0.000, 0.000, 0.500), B at (0.500, 0.500, 0.500) and W at (0.000, 0.000, 0.000).

As for the final energy: -7.79 eV per atom. As for the relative energy among the computed polymorphs: 1.935 eV per atom. The value obtained for the energy relative to the elements is 2.176 eV per atom.

Record 3
A geometry-optimized NdSmN2 structure, computed with PBE.

The space group is R3m (No. 160, hexagonal axes) and the conventional cell measures 3.5516, 3.5516 and 18.4957 Å, with angles of 90.00, 90.00 and 120.00 degrees. Symmetry generates all atoms from Nd at (0.0000, 0.0000, 0.0000), Sm at (0.0000, 0.0000, 0.1702), N at (0.0000, 0.0000, 0.4261) and N at (0.0000, 0.0000, 0.5923).

As for the final energy: -7.74 eV per atom. The calculation puts the uncorrected formation energy at -1.202 eV per atom.

Record 4
A geometry-optimized MgWBr2 structure, computed with PBE.

The space group is Pm (No. 6) and the conventional cell measures 3.705, 3.310 and 8.418 Å, with angles of 90.00, 102.44 and 90.00 degrees. Symmetry generates all atoms from Mg at (0.000, 0.000, 0.000), W at (0.420, 0.500, 0.836), Br at (0.305, 0.000, 0.601) and Br at (0.585, 0.500, 0.171).

As for the final energy: -4.37 eV per atom. As for the relative energy among the computed polymorphs: 0.143 eV per atom. The calculation puts the uncorrected formation energy at 0.100 eV per atom.

Record 5
A geometry-optimized NaTl3Fe2Cl8 structure, computed with PBE.

The space group is P-3m1 (No. 164) and the conventional cell measures 7.3280, 7.3280 and 9.0455 Å, with angles of 90.00, 90.00 and 120.00 degrees. Symmetry generates all atoms from Na at (0.0000, 0.0000, 0.0000), Tl at (0.0000, 0.0000, 0.5000), Tl at (0.3333, 0.6667, 0.1283), Fe at (0.3333, 0.6667, 0.7039), Cl at (0.1670, 0.3340, 0.8039) and Cl at (0.3333, 0.6667, 0.4553).

As for the final energy: -3.84 eV per atom. The calculation puts the uncorrected formation energy at -0.973 eV per atom.

Record 6
A geometry-optimized K2Mn structure, computed with PBE.

The space group is P-3m1 (No. 164) and the conventional cell measures 4.0390, 4.0390 and 9.8657 Å, with angles of 90.00, 90.00 and 120.00 degrees. Symmetry generates all atoms from K at (0.3333, 0.6667, 0.2899) and Mn at (0.0000, 0.0000, 0.0000).

As for the final energy: -2.93 eV per atom. As for the relative energy among the computed polymorphs: 0.199 eV per atom. The value obtained for the energy relative to the elements is 0.863 eV per atom.